(1)
Below is a relaxed Rb4TiTe4 crystal, with properties calculated at the PBE-GGA level.

As for the formation energy from raw total energies: -0.9035 eV/atom. The total energy comes out at -64.93 eV/cell.

abc: 8.5649 8.5649 14.3823
angles: 90.00 90.00 90.00
Space group I-42m (No. 121)
Asymmetric unit:
Rb 0.0000 0.0000 0.1959
Rb 0.0000 0.5000 0.0000
Ti 0.0000 0.0000 0.5000
Te 0.1779 0.1779 0.6075


(2)
Below is a relaxed AlZnIr crystal, with properties calculated at the PBE-GGA level.

The density of states at the Fermi level is 0.37 states/eV per atom. The calculation puts the formation energy at -1.2 eV per formula unit. The total energy comes out at -60.49 eV/cell.

abc: 4.2799 7.9583 5.1701
angles: 90.00 90.00 90.00
Space group Cmcm (No. 63)
Asymmetric unit:
Al 0.0000 0.1938 0.2500
Zn 0.0000 0.5000 0.0000
Ir 0.0000 0.1252 0.7500